(1)
Computed, not measured: a relaxed structure of Ni4Sn2Te at the PBE level of DFT.

abc: 4.686 4.686 13.040
angles: 90.00 90.00 90.00
Space group I4/mmm (No. 139)
Unique sites:
Ni 0.000 0.000 0.183
Ni 0.000 0.500 0.000
Sn 0.000 0.000 0.372
Te 0.000 0.000 0.000

**Raw formation energy**: 490 meV per atom
**Fermi-level density of states**: 6.670 states/eV/cell
**Total energy**: -4.4066 eV per atom

=====

(2)
Computed, not measured: a relaxed structure of BaTiCu2Re at the PBE level of DFT.

abc: 4.830 4.830 5.336
angles: 90.00 90.00 90.00
Space group P4/mmm (No. 123)
Unique sites:
Ba 0.000 0.000 0.000
Ti 0.500 0.500 0.000
Cu 0.000 0.500 0.500
Re 0.000 0.000 0.500

**Fermi-level density of states**: 7.804 states/eV/cell
**Total energy**: -4.4877 eV per atom
**Formation energy from the elements**: 1603.9 meV/atom

=====

(3)
Computed, not measured: a relaxed structure of Ba4LaCo at the PBE level of DFT.

abc: 10.563 10.563 10.563
angles: 90.00 90.00 90.00
Space group F-43m (No. 216)
Unique sites:
Ba 0.125 0.125 0.125
La 0.000 0.000 0.500
Co 0.250 0.250 0.750

**Fermi-level density of states**: 52.182 states/eV/cell
**Total energy**: -2.3498 eV per atom
**Formation energy from the elements**: 937.6 meV/atom